# 1
12
Lattice="-2.7732 3.5843 4.3037 -3.9791 -2.5444 4.0930 5.6626 -1.4368 9.3833" Properties=species:S:1:pos:R:3 comment="Ba3Li8Zn, optimized geometry, DFT PBE-GGA" formation_enthalpy_0k_ev_per_atom=0.0525 crystal_system=trigonal total_energy_ev_per_atom=-1.81 space_group=R3m pbc="T T T"
Li 1.4616 -0.4111 3.5925
Li 2.7171 0.7614 10.1925
Li 0.6612 -0.5532 12.3073
Li -0.4934 -1.6613 5.6035
Li -2.2234 0.0192 12.1650
Li 2.0941 -2.4051 10.0837
Li 0.0991 1.3500 5.7071
Li -1.8342 0.2528 3.1455
Ba 5.3378 -1.3636 9.1131
Ba -0.3215 -0.2488 9.0759
Ba -3.4710 0.4610 6.4552
Zn 2.6670 -0.7617 6.8908

***

# 2
6
Lattice="2.4960 -4.3233 0.0000 2.4960 4.3233 0.0000 0.0000 0.0000 6.5795" Properties=species:S:1:pos:R:3 comment="Y2Tc, optimized geometry, DFT PBE-GGA" formation_enthalpy_0k_ev_per_atom=0.1398 crystal_system=hexagonal total_energy_ev_per_atom=-7.62 space_group=P6_3/mmc pbc="T T T"
Y 0.0000 0.0000 3.2897
Y 0.0000 0.0000 0.0000
Y 2.4960 -1.4411 1.6449
Y 2.4960 1.4411 4.9346
Tc 2.4960 -1.4411 4.9346
Tc 2.4960 1.4411 1.6449

***

# 3
8
Lattice="4.4144 0.0000 0.0000 0.0000 4.8776 0.0000 0.0000 0.0000 5.4747" Properties=species:S:1:pos:R:3 comment="Zn2CuAu, optimized geometry, DFT PBE-GGA" formation_enthalpy_0k_ev_per_atom=-0.1544 crystal_system=orthorhombic total_energy_ev_per_atom=-2.63 space_group=Pmmn pbc="T T T"
Zn 2.2072 4.0477 4.0870
Zn 0.0000 0.8299 4.1251
Zn 2.2072 4.0477 1.3877
Zn 0.0000 0.8299 1.3496
Cu 0.0000 3.3420 2.7373
Cu 2.2072 1.5356 0.0000
Au 2.2072 1.6406 2.7373
Au 0.0000 3.2370 0.0000

***

# 4
10
Lattice="-2.1883 -2.6279 2.4274 -1.3027 -4.9406 -2.9006 7.1482 -4.8879 4.7752" Properties=species:S:1:pos:R:3 comment="Ca2Ga2Ni, optimized geometry, DFT PBE-GGA" formation_enthalpy_0k_ev_per_atom=-0.4416 crystal_system=monoclinic total_energy_ev_per_atom=-3.61 space_group=C2/m pbc="T T T"
Ni 0.4168 -7.1875 -0.1603
Ni 3.2403 -5.2689 4.4623
Ca 0.5019 -5.0856 2.1920
Ca 3.9602 -8.0989 5.6701
Ca -0.3030 -4.3575 -1.3681
Ca 3.1552 -7.3708 2.1100
Ga 3.7808 -10.2013 3.2323
Ga 3.4861 -4.0237 2.4093
Ga 0.1711 -8.4327 1.8927
Ga -0.1237 -2.2551 1.0697

***

# 5
12
Lattice="-0.8485 -0.7771 5.7458 -2.7261 -3.4657 -3.8594 6.7208 -5.5550 0.2412" Properties=species:S:1:pos:R:3 comment="NaAlP2S8, optimized geometry, DFT PBE-GGA" e_form_raw_mev_per_atom=-301 crystal_system=trigonal total_energy_ev_per_atom=-4.38 space_group=P-3 pbc="T T T"
P 2.8089 -6.6271 -0.4815
P 0.3374 -3.1708 2.6091
Na 0.0000 0.0000 0.0000
S -1.0666 -5.7924 0.0939
S 2.7841 -5.6217 4.6224
S 4.3835 -7.9285 -0.4250
S 4.2128 -4.0055 2.0336
S 0.3622 -4.1762 -2.4949
S -1.2372 -1.8694 2.5526
S 2.1094 -6.5753 1.4616
S 1.0369 -3.2226 0.6659
Al 3.3604 -2.7775 0.1206

***

# 6
10
Lattice="4.5117 0.0000 0.0000 -2.2559 9.2705 0.0000 0.0000 0.0000 8.7854" Properties=species:S:1:pos:R:3 comment="KPuTeBr2, optimized geometry, DFT PBE-GGA" e_form_raw_mev_per_atom=-1408 crystal_system=orthorhombic total_energy_ev_per_atom=-5.79 space_group=Cmcm pbc="T T T"
Br 0.0000 2.8557 0.0118
Br 0.0000 2.8557 4.3810
Br 2.2559 6.4148 4.4045
Br 2.2559 6.4148 8.7737
K 2.2559 3.8499 6.5891
K 0.0000 5.4206 2.1964
Pu 0.0000 0.0000 4.3927
Pu 0.0000 0.0000 0.0000
Te 2.2559 0.0022 2.1964
Te 0.0000 9.2683 6.5891

***

# 7
4
Lattice="4.6193 -0.0271 -0.0077 1.8502 4.2326 0.0077 -3.2294 -2.1110 2.5403" Properties=species:S:1:pos:R:3 comment="Cr2NiPt, optimized geometry, DFT PBE-GGA" formation_enthalpy_0k_ev_per_atom=-0.0619 crystal_system=tetragonal total_energy_ev_per_atom=-7.83 space_group=I4/mmm pbc="T T T"
Pt 0.9278 2.1122 1.2740
Ni 2.3123 -0.0177 1.2663
Cr 6.4693 4.2054 0.0000
Cr 3.2349 2.1029 0.0000

***

# 8
5
Lattice="5.6805 0.0000 0.0000 0.0000 5.6805 0.0000 0.0000 0.0000 5.6805" Properties=species:S:1:pos:R:3 comment="AgPI3, optimized geometry, DFT PBE-GGA" e_form_raw_mev_per_atom=716 crystal_system=cubic total_energy_ev_per_atom=-1.87 space_group=Pm-3m pbc="T T T"
I 2.8402 0.0000 0.0000
I 0.0000 2.8402 0.0000
I 0.0000 0.0000 2.8402
Ag 0.0000 0.0000 0.0000
P 2.8402 2.8402 2.8402

***

# 9
8
Lattice="-0.7643 -2.8377 -0.1696 3.6468 -1.0883 1.7753 -3.3425 1.9398 8.0502" Properties=species:S:1:pos:R:3 comment="MnV2W, optimized geometry, DFT PBE-GGA" formation_enthalpy_0k_ev_per_atom=0.0809 crystal_system=orthorhombic total_energy_ev_per_atom=-10.01 space_group=Cmcm pbc="T T T"
V -0.3206 -0.0974 3.0816
V 2.3197 -0.7603 2.2189
V -2.7797 -1.2259 7.4369
V -0.1395 -1.8888 6.5743
Mn 0.1113 -1.6319 1.2542
Mn -0.5713 -0.3543 8.4015
W 0.9592 -2.0386 4.2297
W -1.4193 0.0524 5.4262

***

# 10
16
Lattice="-3.1155 -4.0132 -0.6306 4.0560 -3.0281 -0.7678 0.9141 -3.8613 20.0575" Properties=species:S:1:pos:R:3 comment="Tb3Pm12Pu, optimized geometry, DFT PBE-GGA" formation_enthalpy_0k_ev_per_atom=0.0435 crystal_system=tetragonal total_energy_ev_per_atom=-5.28 space_group=P4/mmm pbc="T T T"
Pm -1.2159 -3.4508 7.1863
Pm 2.6002 -3.9312 12.1720
Pm 0.9273 -5.4513 9.3295
Pm 0.6979 -4.4822 4.2956
Pm 2.3699 -2.9582 7.1177
Pm 2.1394 -1.9847 2.0610
Pm -0.7551 -5.3973 17.2973
Pm 2.8307 -4.9047 17.2287
Pm -0.9855 -4.4238 12.2405
Pm 0.4702 -3.5207 -0.6992
Pm 1.1567 -6.4204 14.3635
Pm -1.4463 -2.4773 2.1296
Tb 0.2273 -0.9602 4.9876
Tb 0.4570 -1.9307 10.0287
Tb 0.6868 -2.9012 15.0699
Pu 0.0000 0.0000 0.0000

***

# 11
5
Lattice="-2.6807 2.6807 2.6807 2.6807 -2.6807 2.6807 2.6807 2.6807 -2.6807" Properties=species:S:1:pos:R:3 comment="LiRe4, optimized geometry, DFT PBE-GGA" formation_enthalpy_0k_ev_per_atom=1.4698 crystal_system=cubic total_energy_ev_per_atom=-8.87 space_group=Im-3m pbc="T T T"
Li 0.0000 0.0000 0.0000
Re 1.3403 1.3403 1.3403
Re 1.3403 1.3403 -1.3403
Re 1.3403 -1.3403 1.3403
Re -1.3403 1.3403 1.3403

***

# 12
8
Lattice="-0.7358 2.4242 4.2786 3.9013 -2.3461 2.0002 3.7148 2.6404 2.0322" Properties=species:S:1:pos:R:3 comment="NiH2Cl, optimized geometry, DFT PBE-GGA" crystal_system=tetragonal total_energy_ev_per_atom=-3.23 space_group=I-42d pbc="T T T"
H 3.2035 2.4724 3.4841
H 2.6843 1.4428 5.7276
H 0.8113 2.3602 4.2763
H 2.4242 3.9319 5.4125
Cl 4.5994 0.1667 3.5859
Cl 1.5827 0.0391 3.1394
Ni 2.2808 2.5518 4.7251
Ni 0.0000 0.0000 0.0000

***

What did the third record say?
8
Lattice="4.4144 0.0000 0.0000 0.0000 4.8776 0.0000 0.0000 0.0000 5.4747" Properties=species:S:1:pos:R:3 comment="Zn2CuAu, optimized geometry, DFT PBE-GGA" formation_enthalpy_0k_ev_per_atom=-0.1544 crystal_system=orthorhombic total_energy_ev_per_atom=-2.63 space_group=Pmmn pbc="T T T"
Zn 2.2072 4.0477 4.0870
Zn 0.0000 0.8299 4.1251
Zn 2.2072 4.0477 1.3877
Zn 0.0000 0.8299 1.3496
Cu 0.0000 3.3420 2.7373
Cu 2.2072 1.5356 0.0000
Au 2.2072 1.6406 2.7373
Au 0.0000 3.2370 0.0000